DFT (PBE-GGA) results for a relaxed structure of Si2HIr.

## Properties
The value obtained for the energy above the most stable polymorph in this dataset is 0.17 eV/f.u. The value obtained for the density of states at the Fermi level is 2.8 states/eV per cell. As for the symmetry: I-42d, No. 122.

Cell and atoms, written as POSCAR:
```
Si2HIr
1.0
-2.155 2.155 5.712
2.155 -2.155 5.712
2.155 2.155 -5.712
Si H Ir
4 2 2
direct
0.024 0.625 0.899
0.375 0.274 0.399
0.726 0.125 0.101
0.875 0.976 0.601
0.000 0.000 0.000
0.750 0.250 0.500
0.250 0.750 0.500
0.500 0.500 0.000
```

DFT (PBE-GGA) results for a relaxed structure of BaSi2Br.

## Properties
The value obtained for the energy above the most stable polymorph in this dataset is 2.09 eV/f.u. For the uncorrected formation energy, the calculation gives -0.065 eV/atom. The value obtained for the density of states at the Fermi level is 3.3 states/eV per cell. As for the symmetry: I4/mmm, No. 139.

Cell and atoms, written as POSCAR:
```
BaSi2Br
1.0
-2.126 2.126 6.527
2.126 -2.126 6.527
2.126 2.126 -6.527
Ba Si Br
1 2 1
direct
0.000 0.000 0.000
0.250 0.750 0.500
0.750 0.250 0.500
0.500 0.500 0.000
```

DFT (PBE-GGA) results for a relaxed structure of LiCe2SmSe4.

## Properties
For the uncorrected formation energy, the calculation gives -1.724 eV/atom. The value obtained for the density of states at the Fermi level is 12.9 states/eV per cell. As for the symmetry: P2/m, No. 10.

Cell and atoms, written as POSCAR:
```
LiCe2SmSe4
1.0
7.200 0.000 0.000
0.000 4.163 0.000
-2.414 0.000 6.800
Li Ce Sm Se
1 2 1 4
direct
0.000 0.000 0.000
0.000 0.500 0.500
0.500 0.000 0.500
0.500 0.500 0.000
0.240 0.500 0.238
0.245 0.000 0.759
0.755 0.000 0.241
0.760 0.500 0.762
```

DFT (PBE-GGA) results for a relaxed structure of GaHgAs2O8.

## Properties
For the uncorrected formation energy, the calculation gives -0.898 eV/atom. The value obtained for the density of states at the Fermi level is 9.7 states/eV per cell. As for the symmetry: R-3, No. 148.

Cell and atoms, written as POSCAR:
```
GaHgAs2O8
1.0
2.451 1.415 7.309
-2.451 1.415 7.309
0.000 -2.830 7.309
Ga Hg As O
1 1 2 8
direct
0.000 0.000 0.000
0.500 0.500 0.500
0.257 0.257 0.257
0.743 0.743 0.743
0.054 0.380 0.729
0.178 0.178 0.178
0.271 0.946 0.620
0.380 0.729 0.054
0.620 0.271 0.946
0.729 0.054 0.380
0.822 0.822 0.822
0.946 0.620 0.271
```